Entry 1:
First-principles (GGA-PBEsol) data for a relaxed structure of Na2LiTiF6, as listed in Alexandria.

```
Na2LiTiF6
1.0
-2.208 0.511 -5.033
0.955 -3.851 -3.837
-4.063 -3.382 -1.587
Na Li F Ti
2 1 6 1
direct
0.250 0.250 0.250
0.750 0.750 0.750
0.500 0.500 0.500
0.750 0.250 0.250
0.750 0.750 0.250
0.750 0.250 0.750
0.250 0.750 0.250
0.250 0.750 0.750
0.250 0.250 0.750
0.000 0.000 0.000
```

Output
DOS at the Fermi energy: 7.8 states/eV/f.u.
Energy: -5.451 eV per atom
Mass density: 2.999 g/cm³

Entry 2:
First-principles (GGA-PBEsol) data for a relaxed structure of Na3NiP, as listed in Alexandria.

```
Na3NiP
1.0
-0.969 0.034 4.996
3.337 -3.783 0.673
3.719 3.404 0.698
Na Ni P
3 1 1
direct
0.000 0.500 0.000
0.000 0.000 0.500
0.500 0.000 0.000
0.000 0.000 0.000
0.500 0.500 0.500
```

Output
Calculated formation energy: 78.3 kJ per mole of atoms
DOS at the Fermi energy: 8.8 states/eV/f.u.
Mass density: 1.998 g/cm³

Entry 3:
First-principles (GGA-PBEsol) data for a relaxed structure of Mn2AuSe, as listed in Alexandria.

```
Mn2AuSe
1.0
-0.995 -1.140 2.807
-1.636 -2.284 -1.508
4.863 -3.644 0.244
Mn Se Au
2 1 1
direct
0.500 0.500 0.267
0.000 0.000 0.015
0.000 0.000 0.433
0.500 0.500 0.785
```

Output
DOS at the Fermi energy: 2.9 states/eV/f.u.
Energy: -6.715 eV per atom
Mass density: 10.361 g/cm³

Entry 4:
First-principles (GGA-PBEsol) data for a relaxed structure of Zr2HgCl, as listed in Alexandria.

```
Zr2HgCl
1.0
-1.140 0.964 2.844
0.477 -4.412 1.686
5.116 1.184 1.650
Zr Hg Cl
2 1 1
direct
0.500 0.000 0.500
0.000 0.000 0.000
0.000 0.500 0.500
0.500 0.500 0.000
```

Output
DOS at the Fermi energy: 4.2 states/eV/f.u.
Energy: -5.386 eV per atom
Mass density: 8.280 g/cm³

Entry 5:
First-principles (GGA-PBEsol) data for a relaxed structure of MnBi12O20, as listed in Alexandria.

```
MnBi12O20
1.0
8.740 0.000 0.000
-2.913 8.240 0.000
-2.913 -4.120 7.136
O Bi Mn
20 12 1
direct
0.604 0.000 0.000
0.000 0.000 0.604
0.764 0.378 0.124
0.254 0.640 0.876
0.236 0.360 0.614
0.000 0.604 0.000
0.622 0.386 0.746
0.386 0.746 0.622
0.203 0.000 0.000
0.797 0.797 0.797
0.124 0.764 0.378
0.360 0.614 0.236
0.746 0.622 0.386
0.378 0.124 0.764
0.640 0.876 0.254
0.396 0.396 0.396
0.000 0.000 0.203
0.876 0.254 0.640
0.000 0.203 0.000
0.614 0.236 0.360
0.145 0.305 0.810
0.335 0.190 0.495
0.665 0.160 0.855
0.505 0.695 0.840
0.495 0.335 0.190
0.305 0.810 0.145
0.695 0.840 0.505
0.855 0.665 0.160
0.810 0.145 0.305
0.160 0.855 0.665
0.190 0.495 0.335
0.840 0.505 0.695
0.000 0.000 0.000
```

Output
DOS at the Fermi energy: 8.5 states/eV/f.u.
Energy: -6.284 eV per atom
Mass density: 9.315 g/cm³

Entry 6:
First-principles (GGA-PBEsol) data for a relaxed structure of NdNb4O12, as listed in Alexandria.

```
NdNb4O12
1.0
5.569 -0.022 0.000
-0.077 5.569 0.000
0.000 0.000 7.874
O Nd Nb
12 1 4
direct
0.999 0.495 0.772
0.984 0.016 0.198
0.226 0.213 0.500
0.999 0.495 0.228
0.984 0.016 0.802
0.730 0.702 0.000
0.505 0.001 0.228
0.787 0.774 0.500
0.522 0.478 0.258
0.505 0.001 0.772
0.522 0.478 0.742
0.298 0.270 0.000
0.730 0.270 0.000
0.741 0.763 0.257
0.237 0.259 0.257
0.237 0.259 0.743
0.741 0.763 0.743
```

Output
DOS at the Fermi energy: 5.7 states/eV/f.u.
Energy: -9.097 eV per atom
Mass density: 4.813 g/cm³

Entry 7:
First-principles (GGA-PBEsol) data for a relaxed structure of Ir3Os, as listed in Alexandria.

```
Ir3Os
1.0
-2.197 -1.475 -0.558
2.051 -3.208 0.408
-1.250 -0.130 5.266
Os Ir
1 3
direct
0.500 0.500 0.000
0.000 0.000 0.753
0.500 0.500 0.500
0.000 0.000 0.247
```

Output
Calculated formation energy: 1.3 kJ per mole of atoms
DOS at the Fermi energy: 3.3 states/eV/f.u.
Mass density: 22.711 g/cm³

Entry 8:
First-principles (GGA-PBEsol) data for a relaxed structure of CrFeCoI2, as listed in Alexandria.

```
CrFeCoI2
1.0
-3.698 -0.201 -2.290
-1.235 -4.244 2.367
-2.342 2.660 3.547
I Cr Fe Co
2 1 1 1
direct
0.000 0.000 0.500
0.000 0.500 0.000
0.500 0.000 0.000
0.000 0.000 0.000
0.500 0.500 0.500
```

Output
DOS at the Fermi energy: 8.3 states/eV/f.u.
Energy: -4.769 eV per atom
Mass density: 6.379 g/cm³